[1]
Material: CaTiSi2
Method: DFT, GGA-PBE
State: relaxed

Results
* formation energy without anion corrections: -0.032 eV per atom
* polymorph energy (0 for the lowest one): 0.00 eV/f.u.

a = 4.7093 Å, b = 4.7093 Å, c = 4.7093 Å
α = 60.00°, β = 60.00°, γ = 60.00°
Last column: nearest neighbours and their distance in Å.
Positions (direct):
Ca 0.0000 0.0000 0.0000  8 Si 2.88
Ti 0.5000 0.5000 0.5000  8 Si 2.88
Si 0.2500 0.2500 0.2500  4 Ca 2.88, 4 Ti 2.88
Si 0.7500 0.7500 0.7500  4 Ti 2.88, 4 Ca 2.88

[2]
Material: CaTlIr2
Method: DFT, GGA-PBE
State: relaxed

Results
* DFT formation energy: 0.8 eV per formula unit

a = 4.7363 Å, b = 4.7363 Å, c = 4.7363 Å
α = 60.00°, β = 60.00°, γ = 60.00°
Last column: nearest neighbours and their distance in Å.
Positions (direct):
Ca 0.0000 0.0000 0.0000  8 Ir 2.90
Tl 0.5000 0.5000 0.5000  8 Ir 2.90
Ir 0.2500 0.2500 0.2500  4 Tl 2.90, 4 Ca 2.90
Ir 0.7500 0.7500 0.7500  4 Ca 2.90, 4 Tl 2.90

[3]
Material: Ti3Re2Mo2
Method: DFT, GGA-PBE
State: relaxed

Results
* DFT formation energy: 0.4 eV per formula unit

a = 9.7822 Å, b = 9.7822 Å, c = 2.5586 Å
α = 90.00°, β = 90.00°, γ = 152.94°
Last column: nearest neighbours and their distance in Å.
Positions (direct):
Ti 0.0000 0.0000 0.0000  4 Ti 2.56-2.74
Ti 0.1442 0.8558 0.0000  3 Ti 2.56-2.74
Ti 0.8558 0.1442 0.0000  3 Ti 2.56-2.74
Re 0.4295 0.5705 0.5000  3 Re 2.56-2.68, 1 Mo 2.69
Re 0.5705 0.4295 0.5000  3 Re 2.56-2.68, 1 Mo 2.69
Mo 0.2882 0.7118 0.5000  4 Mo 2.56-2.71, 1 Re 2.69
Mo 0.7118 0.2882 0.5000  4 Mo 2.56-2.71, 1 Re 2.69

[4]
Material: Na2SnCl2
Method: DFT, GGA-PBE
State: relaxed

Results
* formation energy without anion corrections: -0.964 eV per atom
* polymorph energy (0 for the lowest one): 0.00 eV/f.u.

a = 8.3480 Å, b = 8.3480 Å, c = 3.5323 Å
α = 90.00°, β = 90.00°, γ = 90.00°
Last column: nearest neighbours and their distance in Å.
Positions (direct):
Na 0.1512 0.3488 0.0000  6 Cl 2.95-3.07
Na 0.3488 0.8488 0.0000  6 Cl 2.95-3.07
Na 0.6512 0.1512 0.0000  6 Cl 2.95-3.07
Na 0.8488 0.6512 0.0000  6 Cl 2.95-3.07
Sn 0.0000 0.0000 0.5000  4 Cl 3.18, 2 Sn 3.53
Sn 0.5000 0.5000 0.5000  4 Cl 3.18, 2 Sn 3.53
Cl 0.1490 0.6490 0.5000  6 Na 2.95-3.07, 2 Sn 3.18
Cl 0.3510 0.1490 0.5000  6 Na 2.95-3.07, 2 Sn 3.18
Cl 0.6490 0.8510 0.5000  6 Na 2.95-3.07, 2 Sn 3.18
Cl 0.8510 0.3510 0.5000  6 Na 2.95-3.07, 2 Sn 3.18

[5]
Material: YAlSnCl2
Method: DFT, GGA-PBE
State: relaxed

Results
* formation energy without anion corrections: -0.569 eV per atom

a = 5.0793 Å, b = 5.0793 Å, c = 6.3836 Å
α = 90.00°, β = 90.00°, γ = 90.00°
Last column: nearest neighbours and their distance in Å.
Positions (direct):
Y 0.0000 0.0000 0.0000  4 Cl 2.54
Al 0.0000 0.0000 0.5000  2 Y 3.19
Sn 0.5000 0.5000 0.5000  4 Al 3.59
Cl 0.0000 0.5000 0.0000  2 Y 2.54
Cl 0.5000 0.0000 0.0000  2 Y 2.54

[6]
Material: Sr2RhAu
Method: DFT, GGA-PBE
State: relaxed

Results
* DFT formation energy: -0.7 eV per formula unit

a = 3.7406 Å, b = 3.7406 Å, c = 8.5455 Å
α = 90.00°, β = 90.00°, γ = 90.00°
Last column: nearest neighbours and their distance in Å.
Positions (direct):
Sr 0.0000 0.0000 0.0000  1 Au 3.02, 4 Rh 3.20
Sr 0.5000 0.5000 0.4395  1 Rh 2.99, 4 Au 3.18
Rh 0.5000 0.5000 0.7889  4 Au 2.91, 5 Sr 2.99-3.20
Au 0.0000 0.0000 0.6470  4 Rh 2.91, 5 Sr 3.02-3.18

The records above yield DOS(E_F) values of 5.90; 2.50; 5.87; 0.65; 3.21; 1.79 states/eV/f.u., respectively.